PCl3: optimized geometry, PBE.

The structure belongs to space group P6_3/mmc (No. 194); the cell edges are 10.1729, 10.1729 and 3.2729 Å and the angles 90.00°, 90.00° and 120.00°. The asymmetric unit holds P at (0.3333, 0.6667, 0.2500) and Cl at (0.2291, 0.4582, 0.7500).

For the spin magnetization, the calculation gives 0.0000 μB/atom. The calculation puts the theoretical density at 1.6 g/cm3. The calculation puts the uncorrected energy at -12.06 eV per formula unit. The value obtained for the density of states at the Fermi level is 0.000 states/eV per atom.